No. 1
PBE EuFe2P2, relaxed; energy relative to the elements = -0.89 eV per atom; E_tot = -84.98 eV/cell; DOS(E_F) = 7.32 states/eV/cell
1.0
3.807 0.000 0.000
0.000 3.807 0.000
0.000 0.000 10.662
Eu Fe P
2 4 4
Direct
0.000 0.000 0.000 Eu
0.500 0.500 0.500 Eu
0.000 0.500 0.250 Fe
0.000 0.500 0.750 Fe
0.500 0.000 0.250 Fe
0.500 0.000 0.750 Fe
0.000 0.000 0.353 P
0.000 0.000 0.647 P
0.500 0.500 0.147 P
0.500 0.500 0.853 P



No. 2
PBE Ru, relaxed; energy relative to the elements = 1.13 eV per atom; E_tot = -8.15 eV/cell; energy relative to the lowest polymorph listed for this composition = 1129.9 meV/atom; DOS(E_F) = 0.97 states/eV/cell
1.0
2.518 0.000 0.000
0.000 2.518 0.000
0.000 0.000 2.518
Ru
1
Direct
0.000 0.000 0.000 Ru



No. 3
PBE Zr2AlZn, relaxed; energy relative to the elements = 0.14 eV per atom; E_tot = -86.24 eV/cell; DOS(E_F) = 27.38 states/eV/cell
1.0
6.764 0.000 0.000
0.000 6.764 0.000
0.000 0.000 6.764
Zr Al Zn
8 4 4
Direct
0.000 0.000 0.000 Zr
0.000 0.500 0.500 Zr
0.250 0.250 0.250 Zr
0.250 0.750 0.750 Zr
0.500 0.000 0.500 Zr
0.500 0.500 0.000 Zr
0.750 0.250 0.750 Zr
0.750 0.750 0.250 Zr
0.250 0.250 0.750 Al
0.250 0.750 0.250 Al
0.750 0.250 0.250 Al
0.750 0.750 0.750 Al
0.000 0.000 0.500 Zn
0.000 0.500 0.000 Zn
0.500 0.000 0.000 Zn
0.500 0.500 0.500 Zn